No. 1
# Na2YMnTe4

An optimized crystal structure of Na2YMnTe4 (PBE, Alexandria via LeMat-Bulk).

extended XYZ file:
```
8
Lattice="-3.045 -2.464 -1.733 2.467 -5.763 3.861 -5.510 3.720 4.393" Properties=species:S:1:pos:R:3 pbc="T T T"
Te -3.638 1.310 4.531
Te -2.109 -1.911 1.131
Te 0.595 -3.353 3.722
Y 0.000 0.000 0.000
Te -3.979 -2.596 5.390
Na -4.277 0.628 1.330
Mn -0.289 -4.114 1.064
Na -1.522 -1.022 4.127
```

Summary:
magnetization	4.04	Bohr magnetons per cell
space-group type	P2/m, No. 10
uncorrected formation energy	-847	meV per atom

No. 2
# HfSnMo3

An optimized crystal structure of HfSnMo3 (PBE, Alexandria via LeMat-Bulk).

extended XYZ file:
```
5
Lattice="-1.303 -4.076 -2.194 -0.777 -2.055 4.278 -4.564 1.514 -0.102" Properties=species:S:1:pos:R:3 pbc="T T T"
Mo -2.282 0.757 -0.051
Sn -3.322 -2.309 0.991
Mo -0.651 -2.038 -1.097
Hf 0.000 0.000 0.000
Mo -0.389 -1.027 2.139
```

Summary:
ΔE to the lowest computed polymorph	0	meV per atom
magnetization	0.00	Bohr magnetons per cell
energy relative to the elements	1.78	eV per atom
space-group type	Pm-3m, No. 221

No. 3
# Mg3BePt

An optimized crystal structure of Mg3BePt (PBE, Alexandria via LeMat-Bulk).

extended XYZ file:
```
5
Lattice="-3.585 2.529 1.249 -0.944 -2.979 3.322 2.657 2.353 2.865" Properties=species:S:1:pos:R:3 pbc="T T T"
Mg -0.472 -1.490 1.661
Mg -1.793 1.264 0.624
Be 0.000 0.000 0.000
Mg 1.329 1.176 1.433
Pt -0.936 0.951 3.718
```

Summary:
ΔE to the lowest computed polymorph	83	meV per atom
magnetization	0.00	Bohr magnetons per cell
energy relative to the elements	0.32	eV per atom
space-group type	Pm-3m, No. 221

No. 4
# Cd2InTe

An optimized crystal structure of Cd2InTe (PBE, Alexandria via LeMat-Bulk).

extended XYZ file:
```
4
Lattice="0.000 3.815 3.815 3.815 0.000 3.815 3.815 3.815 0.000" Properties=species:S:1:pos:R:3 pbc="T T T"
Cd 1.908 1.908 1.908
In 0.000 0.000 0.000
Te 3.815 3.815 3.815
Cd 5.723 5.723 5.723
```

Summary:
ΔE to the lowest computed polymorph	132	meV per atom
magnetization	0.00	Bohr magnetons per cell
space-group type	Fm-3m, No. 225
uncorrected formation energy	55	meV per atom

No. 5
# MgMoCl6

An optimized crystal structure of MgMoCl6 (PBE, Alexandria via LeMat-Bulk).

extended XYZ file:
```
8
Lattice="-3.358 -3.533 -3.931 -4.910 -3.250 2.130 -6.105 2.103 -1.661" Properties=species:S:1:pos:R:3 pbc="T T T"
Cl -6.836 -0.009 -0.787
Mg -7.187 -2.340 -1.731
Cl -9.662 -2.269 -1.165
Cl -7.622 -1.407 -4.053
Cl -6.751 -3.274 0.590
Mo 0.000 0.000 0.000
Cl -4.712 -2.411 -2.297
Cl -7.537 -4.671 -2.675
```

Summary:
magnetization	2.00	Bohr magnetons per cell
space-group type	R-3, No. 148
uncorrected formation energy	-1134	meV per atom

No. 6
# MgZnCu3

An optimized crystal structure of MgZnCu3 (PBE, Alexandria via LeMat-Bulk).

extended XYZ file:
```
5
Lattice="4.561 0.000 0.000 0.000 4.561 0.000 0.000 0.000 4.561" Properties=species:S:1:pos:R:3 pbc="T T T"
Mg 0.000 0.000 0.000
Cu 0.000 2.280 0.000
Zn 2.280 2.280 2.280
Cu 0.000 0.000 2.280
Cu 2.280 0.000 0.000
```

Summary:
ΔE to the lowest computed polymorph	1018	meV per atom
magnetization	0.00	Bohr magnetons per cell
energy relative to the elements	0.97	eV per atom
space-group type	Pm-3m, No. 221

No. 7
# WBr

An optimized crystal structure of WBr (PBE, Alexandria via LeMat-Bulk).

extended XYZ file:
```
4
Lattice="4.964 0.002 0.000 1.184 4.821 0.000 -3.074 -2.411 3.063" Properties=species:S:1:pos:R:3 pbc="T T T"
W 2.482 0.001 1.531
Br 0.592 2.411 1.531
W 3.074 2.411 0.000
Br 0.000 0.000 0.000
```

Summary:
ΔE to the lowest computed polymorph	1410	meV per atom
magnetization	0.00	Bohr magnetons per cell
space-group type	I4_1/amd, No. 141
uncorrected formation energy	1492	meV per atom

No. 8
# CaTaBr2

An optimized crystal structure of CaTaBr2 (PBE, Alexandria via LeMat-Bulk).

extended XYZ file:
```
4
Lattice="-3.499 -0.590 -0.049 0.143 -1.130 3.409 -1.128 6.509 2.204" Properties=species:S:1:pos:R:3 pbc="T T T"
Ca -1.960 0.767 2.231
Br -0.571 3.291 1.115
Br -1.122 6.473 2.192
Ta -2.525 4.022 3.333
```

Summary:
ΔE to the lowest computed polymorph	651	meV per atom
magnetization	1.27	Bohr magnetons per cell
space-group type	Pmmm, No. 47
uncorrected formation energy	235	meV per atom